(1)
! CaHSe2 | Alexandria via LeMat-Bulk | GGA-PBE | relaxed; values from VASP
! Symmetry: R-3m, No. 166
&SYSTEM
  ibrav = 0, nat = 4, ntyp = 3
/
ATOMIC_SPECIES
Se 78.96 Se.upf
Ca 40.08 Ca.upf
H 1.01 H.upf
ATOMIC_POSITIONS crystal
Se 0.8814 0.8814 0.8814
Se 0.1186 0.1186 0.1186
Ca 0.0000 0.0000 0.0000
H 0.5000 0.5000 0.5000
CELL_PARAMETERS angstrom
2.1437 0.0000 7.7648
-1.0719 1.8565 7.7648
-1.0719 -1.8565 7.7648

(2)
! CaHSe2 | Alexandria via LeMat-Bulk | GGA-PBE | relaxed; values from VASP
! Symmetry: I-42d, No. 122
&SYSTEM
  ibrav = 0, nat = 8, ntyp = 3
/
ATOMIC_SPECIES
H 1.01 H.upf
Se 78.96 Se.upf
Ca 40.08 Ca.upf
ATOMIC_POSITIONS crystal
H 0.2500 0.7500 0.5000
H 0.5000 0.5000 0.0000
Se 0.3750 0.4800 0.7500
Se 0.8750 0.7700 0.7500
Se 0.5200 0.1250 0.2500
Se 0.2300 0.6250 0.2500
Ca 0.0000 0.0000 0.0000
Ca 0.7500 0.2500 0.5000
CELL_PARAMETERS angstrom
-4.9331 -3.6733 2.4506
0.3281 -3.9690 -5.2890
0.0149 -5.8312 0.2329

Stability order, top to bottom: (2), (1)

(1)
! CaHSe2 | Alexandria via LeMat-Bulk | GGA-PBE | relaxed; values from VASP
! Symmetry: R-3m, No. 166
&SYSTEM
  ibrav = 0, nat = 4, ntyp = 3
/
ATOMIC_SPECIES
Se 78.96 Se.upf
H 1.01 H.upf
Ca 40.08 Ca.upf
ATOMIC_POSITIONS crystal
Se 0.0947 0.0947 0.0947
Se 0.9053 0.9053 0.9053
H 0.0000 0.0000 0.0000
Ca 0.5000 0.5000 0.5000
CELL_PARAMETERS angstrom
2.6543 0.0000 6.0286
-1.3271 2.2987 6.0286
-1.3271 -2.2987 6.0286

(2)
! CaHSe2 | Alexandria via LeMat-Bulk | GGA-PBE | relaxed; values from VASP
! Symmetry: Fm-3m, No. 225
&SYSTEM
  ibrav = 0, nat = 4, ntyp = 3
/
ATOMIC_SPECIES
Se 78.96 Se.upf
H 1.01 H.upf
Ca 40.08 Ca.upf
ATOMIC_POSITIONS crystal
Se 0.7500 0.7500 0.7500
Se 0.2500 0.2500 0.2500
H 0.0000 0.0000 0.0000
Ca 0.5000 0.5000 0.5000
CELL_PARAMETERS angstrom
0.0000 3.4586 3.4586
3.4586 0.0000 3.4586
3.4586 3.4586 0.0000

Stability order, top to bottom: (1), (2)

(1)
! CaSiHSe2 | Alexandria via LeMat-Bulk | GGA-PBE | relaxed; values from VASP
! Symmetry: P1, No. 1
&SYSTEM
  ibrav = 0, nat = 5, ntyp = 4
/
ATOMIC_SPECIES
Ca 40.08 Ca.upf
H 1.01 H.upf
Se 78.96 Se.upf
Si 28.09 Si.upf
ATOMIC_POSITIONS crystal
Ca 0.2913 0.3889 0.1092
H 0.2033 0.8904 0.3196
Se 0.5850 0.4274 0.5493
Se 0.8604 0.8922 0.9746
Si 0.0696 0.8093 0.5744
CELL_PARAMETERS angstrom
-0.0243 3.3432 -1.9520
-3.9148 0.5129 0.9098
1.5553 4.7597 4.1649

(2)
! CaSiHSe2 | Alexandria via LeMat-Bulk | GGA-PBE | relaxed; values from VASP
! Symmetry: Pm, No. 6
&SYSTEM
  ibrav = 0, nat = 5, ntyp = 4
/
ATOMIC_SPECIES
H 1.01 H.upf
Si 28.09 Si.upf
Ca 40.08 Ca.upf
Se 78.96 Se.upf
ATOMIC_POSITIONS crystal
H 0.1881 0.0000 0.7981
Si 0.5553 0.0000 0.9710
Ca 0.0579 0.5000 0.4935
Se 0.7496 0.5000 0.9226
Se 0.5127 0.0000 0.3682
CELL_PARAMETERS angstrom
4.1549 0.0000 0.0032
0.0000 4.4970 0.0000
-1.7899 0.0000 5.4264

(3)
! CaSiHSe2 | Alexandria via LeMat-Bulk | GGA-PBE | relaxed; values from VASP
! Symmetry: P1, No. 1
&SYSTEM
  ibrav = 0, nat = 5, ntyp = 4
/
ATOMIC_SPECIES
Se 78.96 Se.upf
H 1.01 H.upf
Si 28.09 Si.upf
Ca 40.08 Ca.upf
ATOMIC_POSITIONS crystal
Se 0.4085 0.1857 0.6508
Se 0.0413 0.9167 0.1475
H 0.7264 0.5470 0.8800
Si 0.5558 0.8885 0.9813
Ca 0.7409 0.5257 0.4594
CELL_PARAMETERS angstrom
-3.7005 -0.3372 -2.6330
-2.5989 -3.8395 0.2362
-3.3485 2.4491 4.3622

(4)
! CaSiHSe2 | Alexandria via LeMat-Bulk | GGA-PBE | relaxed; values from VASP
! Symmetry: P1, No. 1
&SYSTEM
  ibrav = 0, nat = 5, ntyp = 4
/
ATOMIC_SPECIES
Ca 40.08 Ca.upf
Se 78.96 Se.upf
H 1.01 H.upf
Si 28.09 Si.upf
ATOMIC_POSITIONS crystal
Ca 0.7814 0.4043 0.9540
Se 0.9436 0.9100 0.6360
Se 0.2068 0.9094 0.1062
H 0.5723 0.4968 0.3764
Si 0.5596 0.8713 0.4003
CELL_PARAMETERS angstrom
3.6918 -0.0001 0.0010
0.0022 4.0937 0.0023
1.8191 0.1043 6.8788

Stability order, top to bottom: (2), (3), (4), (1)

(1)
! CaSiHSe2 | Alexandria via LeMat-Bulk | GGA-PBE | relaxed; values from VASP
! Symmetry: Pm, No. 6
&SYSTEM
  ibrav = 0, nat = 5, ntyp = 4
/
ATOMIC_SPECIES
Se 78.96 Se.upf
H 1.01 H.upf
Si 28.09 Si.upf
Ca 40.08 Ca.upf
ATOMIC_POSITIONS crystal
Se 0.1445 0.0000 0.0218
Se 0.5132 0.5000 0.4976
H 0.9832 0.0000 0.5166
Si 0.2982 0.0000 0.4269
Ca 0.6529 0.5000 0.0099
CELL_PARAMETERS angstrom
4.2877 0.0000 0.0006
0.0000 4.4742 0.0000
-0.6436 0.0000 5.7970

(2)
! CaSiHSe2 | Alexandria via LeMat-Bulk | GGA-PBE | relaxed; values from VASP
! Symmetry: Pmm2, No. 25
&SYSTEM
  ibrav = 0, nat = 5, ntyp = 4
/
ATOMIC_SPECIES
Si 28.09 Si.upf
Se 78.96 Se.upf
H 1.01 H.upf
Ca 40.08 Ca.upf
ATOMIC_POSITIONS crystal
Si 0.5000 0.0000 0.7300
Se 0.2366 0.5000 0.6840
Se 0.7634 0.5000 0.6840
H 0.5000 0.0000 0.1237
Ca 0.0000 0.0000 0.1864
CELL_PARAMETERS angstrom
6.9645 0.0000 0.0000
0.0000 3.5487 0.0000
0.0000 0.0000 3.9386

(3)
! CaSiHSe2 | Alexandria via LeMat-Bulk | GGA-PBE | relaxed; values from VASP
! Symmetry: Cm, No. 8
&SYSTEM
  ibrav = 0, nat = 10, ntyp = 4
/
ATOMIC_SPECIES
Ca 40.08 Ca.upf
H 1.01 H.upf
Se 78.96 Se.upf
Si 28.09 Si.upf
ATOMIC_POSITIONS crystal
Ca 0.6449 0.0000 0.5315
Ca 0.6449 0.5000 0.0315
H 0.9297 0.0000 0.1272
H 0.9297 0.5000 0.6272
Se 0.1505 0.5000 0.9672
Se 0.6500 0.5000 0.3425
Se 0.1505 0.0000 0.4672
Se 0.6500 0.0000 0.8425
Si 0.0163 0.5000 0.4823
Si 0.0163 0.0000 0.9823
CELL_PARAMETERS angstrom
6.0108 0.0000 -0.0689
0.0000 4.6152 0.0000
-1.4867 0.0000 9.2716

Stability order, top to bottom: (1), (3), (2)

(1)
! CaSiH3 | Alexandria via LeMat-Bulk | GGA-PBE | relaxed; values from VASP
! Symmetry: Pm-3m, No. 221
&SYSTEM
  ibrav = 0, nat = 5, ntyp = 3
/
ATOMIC_SPECIES
Ca 40.08 Ca.upf
H 1.01 H.upf
Si 28.09 Si.upf
ATOMIC_POSITIONS crystal
Ca 0.5000 0.5000 0.5000
H 0.0000 0.0000 0.5000
H 0.0000 0.5000 0.0000
H 0.5000 0.0000 0.0000
Si 0.0000 0.0000 0.0000
CELL_PARAMETERS angstrom
3.7767 0.0000 0.0000
0.0000 3.7767 0.0000
0.0000 0.0000 3.7767

(2)
! CaSiH3 | Alexandria via LeMat-Bulk | GGA-PBE | relaxed; values from VASP
! Symmetry: Pm-3m, No. 221
&SYSTEM
  ibrav = 0, nat = 5, ntyp = 3
/
ATOMIC_SPECIES
Si 28.09 Si.upf
H 1.01 H.upf
Ca 40.08 Ca.upf
ATOMIC_POSITIONS crystal
Si 0.5000 0.5000 0.5000
H 0.0000 0.5000 0.0000
H 0.5000 0.0000 0.0000
H 0.0000 0.0000 0.5000
Ca 0.0000 0.0000 0.0000
CELL_PARAMETERS angstrom
4.0392 0.0000 0.0000
0.0000 4.0392 0.0000
0.0000 0.0000 4.0392

Stability order, top to bottom: (1), (2)

(1)
! CaSiH2 | Alexandria via LeMat-Bulk | GGA-PBE | relaxed; values from VASP
! Symmetry: Fm-3m, No. 225
&SYSTEM
  ibrav = 0, nat = 4, ntyp = 3
/
ATOMIC_SPECIES
H 1.01 H.upf
Si 28.09 Si.upf
Ca 40.08 Ca.upf
ATOMIC_POSITIONS crystal
H 0.7500 0.7500 0.7500
H 0.2500 0.2500 0.2500
Si 0.0000 0.0000 0.0000
Ca 0.5000 0.5000 0.5000
CELL_PARAMETERS angstrom
0.0000 2.9057 2.9057
2.9057 0.0000 2.9057
2.9057 2.9057 0.0000

(2)
! CaSiH2 | Alexandria via LeMat-Bulk | GGA-PBE | relaxed; values from VASP
! Symmetry: I-42d, No. 122
&SYSTEM
  ibrav = 0, nat = 8, ntyp = 3
/
ATOMIC_SPECIES
Ca 40.08 Ca.upf
Si 28.09 Si.upf
H 1.01 H.upf
ATOMIC_POSITIONS crystal
Ca 0.7500 0.2500 0.5000
Ca 0.0000 0.0000 0.0000
Si 0.2500 0.7500 0.5000
Si 0.5000 0.5000 0.0000
H 0.3750 0.5130 0.7500
H 0.8750 0.7370 0.7500
H 0.2630 0.6250 0.2500
H 0.4870 0.1250 0.2500
CELL_PARAMETERS angstrom
4.3118 0.0000 0.0000
0.0000 4.3118 0.0000
2.1559 2.1559 5.6777

Stability order, top to bottom: (2), (1)